A plane-wave DFT calculation with PBE was carried out for a relaxed Rb2TcPb2O6 crystal.

a = 6.0033 Å, b = 6.0033 Å, c = 6.8110 Å
α = 98.59°, β = 98.59°, γ = 117.55°
Closest atoms and distances in Å follow each position.
Fractional coordinates of all 11 atoms:
Rb (0.8284, 0.1716, 0.0000)  4 O 2.82-2.86
Rb (0.1716, 0.8284, 0.0000)  4 O 2.82-2.86
Tc (0.0000, 0.0000, 0.5000)  6 O 1.96-2.00
Pb (0.3354, 0.6646, 0.5000)  6 O 2.43-2.54
Pb (0.6646, 0.3354, 0.5000)  6 O 2.43-2.54
O (0.7991, 0.7991, 0.6746)  1 Tc 1.96
O (0.0492, 0.3302, 0.6675)  1 Tc 2.00
O (0.2009, 0.2009, 0.3254)  1 Tc 1.96
O (0.3302, 0.0492, 0.6675)  1 Tc 2.00
O (0.9508, 0.6698, 0.3325)  1 Tc 2.00
O (0.6698, 0.9508, 0.3325)  1 Tc 2.00

Results
formation energy (no corrections) = -1.3160 eV/atom
symmetry = C2/m

A plane-wave DFT calculation with PBE was carried out for a relaxed VPRuS2 crystal.

a = 4.4507 Å, b = 4.4507 Å, c = 4.5794 Å
α = 90.00°, β = 90.00°, γ = 90.00°
Closest atoms and distances in Å follow each position.
Fractional coordinates of all 5 atoms:
Ru (0.5000, 0.5000, 0.5000)  4 P 3.15, 8 S 3.19
S (0.0000, 0.5000, 0.0000)  2 V 2.23
S (0.5000, 0.0000, 0.0000)  2 V 2.23
P (0.0000, 0.0000, 0.5000)  2 V 2.29
V (0.0000, 0.0000, 0.0000)  4 S 2.23, 2 P 2.29

Results
formation energy (no corrections) = 0.6371 eV/atom
offset from the most stable computed form = 0.000 eV/atom
symmetry = P4/mmm

A plane-wave DFT calculation with PBE was carried out for a relaxed In2AgS3Br crystal.

a = 7.8068 Å, b = 7.8068 Å, c = 7.8068 Å
α = 60.87°, β = 60.87°, γ = 60.87°
Closest atoms and distances in Å follow each position.
Fractional coordinates of all 14 atoms:
In (0.0000, 0.0000, 0.0000)  6 S 2.69
In (0.0000, 0.5000, 0.0000)  4 S 2.61, 2 Br 2.90
In (0.5000, 0.0000, 0.0000)  4 S 2.61, 2 Br 2.90
In (0.0000, 0.0000, 0.5000)  4 S 2.61, 2 Br 2.90
Ag (0.5811, 0.5811, 0.5811)  3 S 2.52
Ag (0.4189, 0.4189, 0.4189)  3 S 2.52
S (0.2412, 0.7916, 0.2412)  1 Ag 2.52, 3 In 2.61-2.69
S (0.7916, 0.2412, 0.2412)  1 Ag 2.52, 3 In 2.61-2.69
S (0.2412, 0.2412, 0.7916)  1 Ag 2.52, 3 In 2.61-2.69
S (0.7588, 0.2084, 0.7588)  1 Ag 2.52, 3 In 2.61-2.69
S (0.2084, 0.7588, 0.7588)  1 Ag 2.52, 3 In 2.61-2.69
S (0.7588, 0.7588, 0.2084)  1 Ag 2.52, 3 In 2.61-2.69
Br (0.2610, 0.2610, 0.2610)  3 In 2.90, 1 Ag 3.00
Br (0.7390, 0.7390, 0.7390)  3 In 2.90, 1 Ag 3.00

Results
formation energy (no corrections) = -0.5235 eV/atom
symmetry = R-3m

A plane-wave DFT calculation with PBE was carried out for a relaxed Li5IO5 crystal.

a = 4.2507 Å, b = 5.3986 Å, c = 6.0064 Å
α = 107.60°, β = 90.00°, γ = 113.18°
Closest atoms and distances in Å follow each position.
Fractional coordinates of all 11 atoms:
Li (0.7104, 0.4208, 0.3426)  4 O 1.96-2.17
Li (0.6897, 0.3794, 0.8607)  4 O 2.05-2.16
Li (0.0000, 0.0000, 0.5000)  4 O 2.01-2.20
Li (0.3103, 0.6206, 0.1393)  4 O 2.05-2.16
Li (0.2896, 0.5792, 0.6574)  4 O 1.96-2.17
I (0.0000, 0.0000, 0.0000)  6 O 2.08-2.13
O (0.8517, 0.7034, 0.1781)  5 Li 1.96-2.16, 1 I 2.08
O (0.8371, 0.6742, 0.6759)  5 Li 1.98-2.20, 1 I 2.08
O (0.5000, 0.0000, 0.0000)  2 I 2.13, 2 Li 2.30
O (0.1629, 0.3258, 0.3241)  5 Li 1.98-2.20, 1 I 2.08
O (0.1483, 0.2966, 0.8219)  5 Li 1.96-2.16, 1 I 2.08

Results
formation energy (no corrections) = -1.4390 eV/atom
symmetry = C2/m

A plane-wave DFT calculation with PBE was carried out for a relaxed VPd8Rh2 crystal.

a = 4.8687 Å, b = 6.8453 Å, c = 6.8453 Å
α = 55.67°, β = 74.86°, γ = 74.86°
Closest atoms and distances in Å follow each position.
Fractional coordinates of all 11 atoms:
V (0.0000, 0.0000, 0.0000)  2 Rh 2.29, 4 Pd 2.40
Pd (0.2096, 0.3618, 0.7708)  1 V 2.40, 1 Pd 2.61, 1 Rh 2.67
Pd (0.7904, 0.2292, 0.6382)  1 V 2.40, 1 Pd 2.61, 1 Rh 2.67
Pd (0.0588, 0.7710, 0.7710)  2 Rh 2.68-2.81, 1 V 2.70, 6 Pd 2.70-2.83
Pd (0.9412, 0.2290, 0.2290)  2 Rh 2.68-2.81, 1 V 2.70, 6 Pd 2.70-2.83
Pd (0.2096, 0.7708, 0.3618)  1 V 2.40, 1 Pd 2.61, 1 Rh 2.67
Pd (0.7904, 0.6382, 0.2292)  1 V 2.40, 1 Pd 2.61, 1 Rh 2.67
Pd (0.6521, 0.6477, 0.6477)  1 Rh 2.69, 8 Pd 2.80-2.93
Pd (0.3479, 0.3523, 0.3523)  1 Rh 2.69, 8 Pd 2.80-2.93
Rh (0.4636, 0.8802, 0.8802)  1 V 2.29
Rh (0.5364, 0.1198, 0.1198)  1 V 2.29

Results
symmetry = C2/m
formation enthalpy at 0 K = 0.1837 eV per atom

A plane-wave DFT calculation with PBE was carried out for a relaxed BaTa4Tl crystal.

a = 5.8121 Å, b = 5.8121 Å, c = 5.8121 Å
α = 60.00°, β = 60.00°, γ = 60.00°
Closest atoms and distances in Å follow each position.
Fractional coordinates of all 6 atoms:
Ba (0.0000, 0.0000, 0.0000)  12 Ta 3.40, 4 Tl 3.56
Ta (0.8857, 0.3714, 0.3714)  6 Ta 2.82-2.99
Ta (0.3714, 0.3714, 0.8857)  6 Ta 2.82-2.99
Ta (0.3714, 0.8857, 0.3714)  6 Ta 2.82-2.99
Ta (0.3714, 0.3714, 0.3714)  6 Ta 2.82-2.99
Tl (0.7500, 0.7500, 0.7500)  12 Ta 3.42, 4 Ba 3.56

Results
symmetry = F-43m
formation enthalpy at 0 K = 0.8076 eV per atom

A plane-wave DFT calculation with PBE was carried out for a relaxed HfGaI2N crystal.

a = 5.9657 Å, b = 5.9657 Å, c = 4.0114 Å
α = 90.00°, β = 90.00°, γ = 90.00°
Closest atoms and distances in Å follow each position.
Fractional coordinates of all 5 atoms:
I (0.0000, 0.5000, 0.0000)  2 Hf 2.98
I (0.5000, 0.0000, 0.0000)  2 Hf 2.98
Hf (0.0000, 0.0000, 0.0000)  2 N 2.01
Ga (0.5000, 0.5000, 0.5000)  8 I 3.59, 2 Ga 4.01
N (0.0000, 0.0000, 0.5000)  2 Hf 2.01

Results
formation energy (no corrections) = -0.2708 eV/atom
offset from the most stable computed form = 0.000 eV/atom
symmetry = P4/mmm

A plane-wave DFT calculation with PBE was carried out for a relaxed La4Nd3Cd4 crystal.

a = 5.5191 Å, b = 3.5323 Å, c = 17.8661 Å
α = 95.67°, β = 98.89°, γ = 90.00°
Closest atoms and distances in Å follow each position.
Fractional coordinates of all 11 atoms:
La (0.2670, 0.2670, 0.5340)  4 Cd 3.31-3.50, 6 La 3.49-3.53
La (0.0901, 0.5901, 0.1801)  3 Cd 3.19-3.24, 2 La 3.53
La (0.9099, 0.4099, 0.8199)  3 Cd 3.19-3.24, 2 La 3.53
La (0.7330, 0.7330, 0.4660)  4 Cd 3.31-3.50, 6 La 3.49-3.53
Nd (0.3646, 0.8646, 0.7292)  2 Nd 3.53, 6 La 3.64-3.86, 6 Cd 3.65-3.73
Nd (0.6354, 0.1354, 0.2708)  2 Nd 3.53, 6 La 3.64-3.86, 6 Cd 3.65-3.73
Nd (0.0000, 0.0000, 0.0000)  2 Nd 3.53, 8 Cd 3.59, 4 La 3.62
Cd (0.8191, 0.3191, 0.6382)  5 La 3.19-3.50, 2 Cd 3.53
Cd (0.4582, 0.4582, 0.9165)  1 Cd 2.93, 2 La 3.24
Cd (0.5418, 0.5418, 0.0835)  1 Cd 2.93, 2 La 3.24
Cd (0.1809, 0.6809, 0.3618)  5 La 3.19-3.50, 2 Cd 3.53

Results
symmetry = Immm
formation enthalpy at 0 K = -0.0701 eV per atom